## i
## Ta2Ni2Ir (PBE)

Data for a relaxed Ta2Ni2Ir crystal.

Unit cell a=6.7588 b=6.7588 c=3.1402 alpha=90.00 beta=90.00 gamma=90.00
Last column: nearest neighbours and their distance in Å.
Fractional coordinates of all 10 atoms:
Ni (0.3757, 0.8757, 0.0000)  1 Ni 2.38, 6 Ta 2.47-2.59
Ni (0.6243, 0.1243, 0.0000)  1 Ni 2.38, 6 Ta 2.47-2.59
Ir (0.0000, 0.0000, 0.0000)  4 Ni 2.67, 8 Ta 2.94
Ta (0.1765, 0.6765, 0.5000)  6 Ni 2.47-2.59
Ta (0.6765, 0.8235, 0.5000)  6 Ni 2.47-2.59
Ni (0.8757, 0.6243, 0.0000)  1 Ni 2.38, 6 Ta 2.47-2.59
Ni (0.1243, 0.3757, 0.0000)  1 Ni 2.38, 6 Ta 2.47-2.59
Ir (0.5000, 0.5000, 0.0000)  4 Ni 2.67, 8 Ta 2.94
Ta (0.3235, 0.1765, 0.5000)  6 Ni 2.47-2.59
Ta (0.8235, 0.3235, 0.5000)  6 Ni 2.47-2.59

Properties
volume: 14.3 Å³ per atom
density of states at the Fermi level: 3.49 states/eV/cell
theoretical density: 15.55 g/cm³



## ii
## Ta2Ni2Ir (PBE)

Data for a relaxed Ta2Ni2Ir crystal.

Unit cell a=4.5994 b=5.1828 c=7.5097 alpha=66.61 beta=72.17 gamma=63.66
Last column: nearest neighbours and their distance in Å.
Fractional coordinates of all 10 atoms:
Ni (0.7132, 0.7724, 0.4656)  1 Ni 2.43, 4 Ta 2.59-2.66, 2 Ir 2.65-2.71
Ni (0.0489, 0.2724, 0.9656)  1 Ni 2.43, 4 Ta 2.59-2.66, 2 Ir 2.65-2.71
Ta (0.5005, 0.8020, 0.8605)  6 Ni 2.59-2.87, 2 Ir 2.63-2.73
Ir (0.2943, 0.7500, 0.2500)  4 Ta 2.63-2.73, 6 Ni 2.65-2.93
Ta (0.1630, 0.6980, 0.6395)  6 Ni 2.59-2.87, 2 Ir 2.63-2.73
Ir (0.7057, 0.2500, 0.7500)  4 Ta 2.63-2.73, 6 Ni 2.65-2.93
Ni (0.9511, 0.7276, 0.0344)  1 Ni 2.43, 4 Ta 2.59-2.66, 2 Ir 2.65-2.71
Ta (0.8370, 0.3020, 0.3605)  6 Ni 2.59-2.87, 2 Ir 2.63-2.73
Ta (0.4995, 0.1980, 0.1395)  6 Ni 2.59-2.87, 2 Ir 2.63-2.73
Ni (0.2868, 0.2276, 0.5344)  1 Ni 2.43, 4 Ta 2.59-2.66, 2 Ir 2.65-2.71

Properties
volume: 14.5 Å³ per atom
density of states at the Fermi level: 8.15 states/eV/cell
theoretical density: 15.34 g/cm³



Energy comparison, zero being the most stable, in meV per atom: i 0; ii 103.



## i
## Ta3NiIr (PBE)

Data for a relaxed Ta3NiIr crystal.

Unit cell a=4.8170 b=4.8170 c=4.8170 alpha=90.00 beta=90.00 gamma=90.00
Last column: nearest neighbours and their distance in Å.
Fractional coordinates of all 5 atoms:
Ir (0.0000, 0.0000, 0.0000)  6 Ta 2.41
Ta (0.5000, 0.0000, 0.0000)  2 Ir 2.41
Ta (0.0000, 0.5000, 0.0000)  2 Ir 2.41
Ta (0.0000, 0.0000, 0.5000)  2 Ir 2.41
Ni (0.5000, 0.5000, 0.5000)  12 Ta 3.41

Properties
volume: 22.4 Å³ per atom
density of states at the Fermi level: 5.92 states/eV/cell
theoretical density: 11.79 g/cm³



## ii
## Ta3NiIr (PBE)

Data for a relaxed Ta3NiIr crystal.

Unit cell a=4.5209 b=4.5209 c=4.5209 alpha=90.00 beta=90.00 gamma=90.00
Last column: nearest neighbours and their distance in Å.
Fractional coordinates of all 5 atoms:
Ni (0.0000, 0.0000, 0.0000)  6 Ta 2.26
Ta (0.0000, 0.0000, 0.5000)  2 Ni 2.26
Ir (0.5000, 0.5000, 0.5000)  12 Ta 3.20
Ta (0.5000, 0.0000, 0.0000)  2 Ni 2.26
Ta (0.0000, 0.5000, 0.0000)  2 Ni 2.26

Properties
volume: 18.5 Å³ per atom
density of states at the Fermi level: 4.88 states/eV/cell
theoretical density: 14.27 g/cm³



Energy comparison, zero being the most stable, in meV per atom: i 489; ii 0.